No. 1
# NdAsSe

NdAsSe at its PBEsol-relaxed geometry (SCAN, Alexandria via LeMat-Bulk).

```
NdAsSe
1.0
2.814 -2.805 0.000
2.814 2.805 0.000
0.000 0.000 17.797
Nd As Se
4 4 4
Direct
0.238 0.762 0.861 Nd
0.262 0.738 0.361 Nd
0.738 0.262 0.639 Nd
0.762 0.238 0.139 Nd
0.224 0.224 0.500 As
0.276 0.276 0.000 As
0.724 0.724 0.000 As
0.776 0.776 0.500 As
0.240 0.760 0.688 Se
0.260 0.740 0.188 Se
0.740 0.260 0.812 Se
0.760 0.240 0.312 Se
```

Calculated values
Uncorrected formation energy, meV/atom: -1661
SG: Cmce, No. 64

No. 2
# CsZn2AsCl

CsZn2AsCl at its PBEsol-relaxed geometry (SCAN, Alexandria via LeMat-Bulk).

```
CsZn2AsCl
1.0
4.729 0.000 0.000
0.000 4.729 0.000
0.000 0.000 10.001
Cs Zn As Cl
1 2 1 1
Direct
0.000 0.000 0.000 Cs
0.000 0.500 0.500 Zn
0.500 0.000 0.500 Zn
0.500 0.500 0.500 As
0.500 0.500 0.000 Cl
```

Calculated values
Uncorrected formation energy, meV/atom: -421
SG: P4/mmm, No. 123

No. 3
# As2OsSe

As2OsSe at its PBEsol-relaxed geometry (SCAN, Alexandria via LeMat-Bulk).

```
As2OsSe
1.0
2.797 -3.730 0.000
2.797 3.730 0.000
0.000 0.000 3.144
As Os Se
2 1 1
Direct
0.000 0.500 0.000 As
0.500 0.000 0.000 As
0.000 0.000 0.500 Os
0.500 0.500 0.500 Se
```

Calculated values
Uncorrected formation energy, meV/atom: 781
SG: Cmmm, No. 65

No. 4
# FeCuTc2

FeCuTc2 at its PBEsol-relaxed geometry (SCAN, Alexandria via LeMat-Bulk).

```
FeCuTc2
1.0
2.623 0.000 0.000
0.000 3.739 0.000
0.000 0.000 5.155
Fe Cu Tc
1 1 2
Direct
0.000 0.000 0.000 Fe
0.500 0.500 0.769 Cu
0.000 0.000 0.508 Tc
0.500 0.500 0.259 Tc
```

Calculated values
Formation enthalpy at 0 K, eV/atom: 0.158
SG: Pmm2, No. 25

No. 5
# Sc4Mo3

Sc4Mo3 at its PBEsol-relaxed geometry (SCAN, Alexandria via LeMat-Bulk).

```
Sc4Mo3
1.0
-1.604 1.604 13.139
1.604 -1.604 13.139
1.604 1.604 -13.139
Sc Mo
4 3
Direct
0.062 0.062 0.000 Sc
0.342 0.342 0.000 Sc
0.658 0.658 0.000 Sc
0.938 0.938 0.000 Sc
0.224 0.224 0.000 Mo
0.500 0.500 0.000 Mo
0.776 0.776 0.000 Mo
```

Calculated values
Formation enthalpy at 0 K, eV/atom: 0.082
SG: I4/mmm, No. 139

No. 6
# FeGeOs3

FeGeOs3 at its PBEsol-relaxed geometry (SCAN, Alexandria via LeMat-Bulk).

```
FeGeOs3
1.0
4.374 0.000 0.000
0.000 4.374 0.000
0.000 0.000 4.374
Fe Ge Os
1 1 3
Direct
0.000 0.000 0.000 Fe
0.500 0.500 0.500 Ge
0.000 0.000 0.500 Os
0.000 0.500 0.000 Os
0.500 0.000 0.000 Os
```

Calculated values
Formation enthalpy at 0 K, eV/atom: 1.928
SG: Pm-3m, No. 221

No. 7
# ZrSO

ZrSO at its PBEsol-relaxed geometry (SCAN, Alexandria via LeMat-Bulk).

```
ZrSO
1.0
5.679 0.000 0.000
0.000 5.679 0.000
0.000 0.000 5.679
Zr S O
4 4 4
Direct
0.071 0.071 0.071 Zr
0.429 0.929 0.571 Zr
0.571 0.429 0.929 Zr
0.929 0.571 0.429 Zr
0.167 0.667 0.833 S
0.333 0.333 0.333 S
0.667 0.833 0.167 S
0.833 0.167 0.667 S
0.156 0.844 0.344 O
0.344 0.156 0.844 O
0.656 0.656 0.656 O
0.844 0.344 0.156 O
```

Calculated values
Uncorrected formation energy, meV/atom: -2818
SG: P2_13, No. 198

No. 8
# ZrCrAg2

ZrCrAg2 at its PBEsol-relaxed geometry (SCAN, Alexandria via LeMat-Bulk).

```
ZrCrAg2
1.0
0.000 3.285 3.285
3.285 0.000 3.285
3.285 3.285 0.000
Zr Cr Ag
1 1 2
Direct
0.000 0.000 0.000 Zr
0.500 0.500 0.500 Cr
0.250 0.250 0.250 Ag
0.750 0.750 0.750 Ag
```

Calculated values
Formation enthalpy at 0 K, eV/atom: 0.068
SG: Fm-3m, No. 225

No. 9
# ZrSnTe2

ZrSnTe2 at its PBEsol-relaxed geometry (SCAN, Alexandria via LeMat-Bulk).

```
ZrSnTe2
1.0
1.977 1.141 9.305
-1.977 1.141 9.305
0.000 -2.282 9.305
Zr Sn Te
1 1 2
Direct
0.000 0.000 0.000 Zr
0.500 0.500 0.500 Sn
0.098 0.098 0.098 Te
0.902 0.902 0.902 Te
```

Calculated values
Uncorrected formation energy, meV/atom: 241
SG: R-3m, No. 166

No. 10
# Ta3HgAs

Ta3HgAs at its PBEsol-relaxed geometry (SCAN, Alexandria via LeMat-Bulk).

```
Ta3HgAs
1.0
4.695 0.000 0.000
0.000 4.695 0.000
0.000 0.000 4.695
Ta Hg As
3 1 1
Direct
0.000 0.000 0.500 Ta
0.000 0.500 0.000 Ta
0.500 0.000 0.000 Ta
0.500 0.500 0.500 Hg
0.000 0.000 0.000 As
```

Calculated values
Formation enthalpy at 0 K, eV/atom: 1.009
SG: Pm-3m, No. 221

No. 11
# Cr7Ir6

Cr7Ir6 at its PBEsol-relaxed geometry (SCAN, Alexandria via LeMat-Bulk).

```
Cr7Ir6
1.0
2.328 1.344 8.617
-2.328 1.344 8.617
0.000 -2.688 8.617
Cr Ir
7 6
Direct
0.000 0.000 0.000 Cr
0.092 0.092 0.587 Cr
0.092 0.587 0.092 Cr
0.413 0.908 0.908 Cr
0.587 0.092 0.092 Cr
0.908 0.413 0.908 Cr
0.908 0.908 0.413 Cr
0.164 0.164 0.164 Ir
0.348 0.348 0.348 Ir
0.452 0.452 0.452 Ir
0.548 0.548 0.548 Ir
0.652 0.652 0.652 Ir
0.836 0.836 0.836 Ir
```

Calculated values
Formation enthalpy at 0 K, eV/atom: -0.160
SG: R-3m, No. 166

No. 12
# SnH3W

SnH3W at its PBEsol-relaxed geometry (SCAN, Alexandria via LeMat-Bulk).

```
SnH3W
1.0
3.639 0.000 0.000
0.000 3.639 0.000
0.000 0.000 3.639
Sn H W
1 3 1
Direct
0.000 0.000 0.000 Sn
0.000 0.500 0.500 H
0.500 0.000 0.500 H
0.500 0.500 0.000 H
0.500 0.500 0.500 W
```

Calculated values
Raw total energy, eV/atom: -22.54
SG: Pm-3m, No. 221

No. 13
# Co2AgMo

Co2AgMo at its PBEsol-relaxed geometry (SCAN, Alexandria via LeMat-Bulk).

```
Co2AgMo
1.0
4.515 0.000 0.000
0.000 2.613 0.000
-1.888 0.000 4.422
Co Ag Mo
2 1 1
Direct
0.000 0.000 0.000 Co
0.000 0.500 0.500 Co
0.500 0.000 0.500 Ag
0.500 0.500 0.000 Mo
```

Calculated values
Formation enthalpy at 0 K, eV/atom: 0.570
SG: P2/m, No. 10

No. 14
# TaSnSeN2

TaSnSeN2 at its PBEsol-relaxed geometry (SCAN, Alexandria via LeMat-Bulk).

```
TaSnSeN2
1.0
4.053 0.000 0.000
0.000 4.053 0.000
0.000 0.000 5.254
Ta Sn Se N
1 1 1 2
Direct
0.000 0.000 0.000 Ta
0.500 0.500 0.500 Sn
0.000 0.000 0.500 Se
0.000 0.500 0.000 N
0.500 0.000 0.000 N
```

Calculated values
Uncorrected formation energy, meV/atom: -12
SG: P4/mmm, No. 123

No. 15
# MnNbZn2N

MnNbZn2N at its PBEsol-relaxed geometry (SCAN, Alexandria via LeMat-Bulk).

```
MnNbZn2N
1.0
4.471 0.000 0.000
0.000 4.471 0.000
0.000 0.000 4.385
Mn Nb Zn N
1 1 2 1
Direct
0.000 0.000 0.000 Mn
0.000 0.000 0.500 Nb
0.000 0.500 0.000 Zn
0.500 0.000 0.000 Zn
0.500 0.500 0.500 N
```

Calculated values
Uncorrected formation energy, meV/atom: 1465
SG: P4/mmm, No. 123

No. 16
# MgAg2

MgAg2 at its PBEsol-relaxed geometry (SCAN, Alexandria via LeMat-Bulk).

```
MgAg2
1.0
7.809 0.000 0.000
-3.905 6.763 0.000
0.000 0.000 2.914
Mg Ag
3 6
Direct
0.000 0.000 0.000 Mg
0.333 0.667 0.500 Mg
0.667 0.333 0.500 Mg
0.000 0.307 0.500 Ag
0.000 0.641 0.000 Ag
0.307 0.000 0.500 Ag
0.359 0.359 0.000 Ag
0.641 0.000 0.000 Ag
0.693 0.693 0.500 Ag
```

Calculated values
Formation enthalpy at 0 K, eV/atom: -0.139
SG: P-62m, No. 189

No. 17
# CrRe2Si

CrRe2Si at its PBEsol-relaxed geometry (SCAN, Alexandria via LeMat-Bulk).

```
CrRe2Si
1.0
2.773 0.000 0.000
0.000 3.778 0.000
0.000 0.000 5.070
Cr Re Si
1 2 1
Direct
0.000 0.000 0.000 Cr
0.500 0.500 0.252 Re
0.500 0.500 0.748 Re
0.000 0.000 0.500 Si
```

Calculated values
Uncorrected formation energy, meV/atom: 78
SG: Pmmm, No. 47

No. 18
# Li2TeCl

Li2TeCl at its PBEsol-relaxed geometry (SCAN, Alexandria via LeMat-Bulk).

```
Li2TeCl
1.0
3.216 0.000 0.000
0.000 4.328 0.000
0.000 0.000 6.126
Li Te Cl
2 1 1
Direct
0.000 0.000 0.000 Li
0.000 0.500 0.500 Li
0.500 0.000 0.500 Te
0.500 0.500 0.000 Cl
```

Calculated values
Uncorrected formation energy, meV/atom: -1116
SG: Pmmm, No. 47

No. 19
# La2ReMo

La2ReMo at its PBEsol-relaxed geometry (SCAN, Alexandria via LeMat-Bulk).

```
La2ReMo
1.0
3.544 0.000 0.000
0.000 3.544 0.000
0.000 0.000 7.097
La Re Mo
2 1 1
Direct
0.000 0.000 0.242 La
0.000 0.000 0.758 La
0.500 0.500 0.000 Re
0.500 0.500 0.500 Mo
```

Calculated values
Formation enthalpy at 0 K, eV/atom: 0.793
SG: P4/mmm, No. 123

No. 20
# CaNbGa2Pt

CaNbGa2Pt at its PBEsol-relaxed geometry (SCAN, Alexandria via LeMat-Bulk).

```
CaNbGa2Pt
1.0
4.980 0.000 0.000
0.000 4.980 0.000
0.000 0.000 4.839
Ca Nb Ga Pt
1 1 2 1
Direct
0.000 0.000 0.000 Ca
0.500 0.500 0.500 Nb
0.000 0.500 0.500 Ga
0.500 0.000 0.500 Ga
0.500 0.500 0.000 Pt
```

Calculated values
Formation enthalpy at 0 K, eV/atom: -0.058
SG: P4/mmm, No. 123

Volume values, unit Å³ per atom, following the record order: 23.4 44.7 16.4 12.6 19.3 16.7 15.3 17.7 31.5 20.7 12.4 9.6 13.0 17.3 17.5 17.1 13.3 21.3 22.3 24.0.